Entry 1:
A relaxed structure of ReBiMoH2. Source: Alexandria via LeMat-Bulk, functional GGA-PBEsol. Values from VASP.

- total energy (eV per cell) = -29.0
- space-group type = No. 123

The structure in Quantum ESPRESSO input format:
```
&SYSTEM
  ibrav = 0, nat = 5, ntyp = 4
/
ATOMIC_SPECIES
Re 186.21 Re.upf
Mo 95.94 Mo.upf
Bi 208.98 Bi.upf
H 1.01 H.upf
ATOMIC_POSITIONS angstrom
Re 0.000 0.000 0.000
Mo 1.892 1.892 2.666
Bi 0.000 0.000 2.666
H 0.000 1.892 0.000
H 1.892 0.000 0.000
CELL_PARAMETERS angstrom
3.784 0.000 0.000
0.000 3.784 0.000
0.000 0.000 5.331
```

***

Entry 2:
A relaxed structure of Lu2Mn2O7. Source: Alexandria via LeMat-Bulk, functional GGA-PBEsol. Values from VASP.

- total energy (eV per cell) = -191.2
- space-group type = No. 227

The structure in Quantum ESPRESSO input format:
```
&SYSTEM
  ibrav = 0, nat = 22, ntyp = 3
/
ATOMIC_SPECIES
Lu 174.97 Lu.upf
Mn 54.94 Mn.upf
O 16.00 O.upf
ATOMIC_POSITIONS angstrom
Lu 5.153 4.958 3.506
Lu 8.588 4.958 3.506
Lu 6.870 1.983 3.506
Lu 6.870 3.966 0.701
Mn 5.153 0.992 0.701
Mn 1.718 0.992 0.701
Mn 3.435 3.966 0.701
Mn 3.435 1.983 3.506
O 6.870 3.966 2.805
O 10.305 5.950 4.207
O 4.855 2.803 4.450
O 4.855 2.803 0.243
O 8.885 2.803 4.450
O 6.870 6.293 4.450
O 6.870 1.640 1.159
O 4.855 5.130 1.159
O 8.885 5.130 1.159
O 3.435 0.343 0.243
O 3.435 3.623 2.562
O 2.015 1.163 2.562
O 2.015 2.803 0.243
O 4.855 1.163 2.562
CELL_PARAMETERS angstrom
6.870 0.000 0.000
3.435 5.950 0.000
3.435 1.983 5.609
```

***

Entry 3:
A relaxed structure of CuNi2Rh. Source: Alexandria via LeMat-Bulk, functional GGA-PBEsol. Values from VASP.

- total energy (eV per cell) = -24.6
- space-group type = No. 47
- formation energy (eV per atom) = 0.06

The structure in Quantum ESPRESSO input format:
```
&SYSTEM
  ibrav = 0, nat = 4, ntyp = 3
/
ATOMIC_SPECIES
Ni 58.69 Ni.upf
Rh 102.91 Rh.upf
Cu 63.55 Cu.upf
ATOMIC_POSITIONS angstrom
Ni -2.457 2.573 1.257
Ni -0.832 0.871 0.426
Rh -1.643 -1.121 -0.917
Cu -3.287 0.601 -0.075
CELL_PARAMETERS angstrom
-0.887 0.318 -2.384
-2.398 -2.559 0.551
-3.288 3.444 1.682
```

***

> The highest total energy belongs to which entry?

CuNi2Rh

***

> The highest total energy belongs to which entry?

CuNi2Rh